DFT (PBE-GGA) results for crystalline PuVCu4 at its relaxed geometry.

Results
* space-group type: F-43m (216)
* density of states at the Fermi level: 14.4 states/eV/f.u.
* energy: -6.4871 eV/atom
* total magnetic moment: 1.47 μB per atom

Unit cell a=5.064 b=5.064 c=5.064 alpha=60.00 beta=60.00 gamma=60.00
Element x y z (fractional)
1 Cu 0.626 0.626 0.121
2 Cu 0.121 0.626 0.626
3 Cu 0.626 0.626 0.626
4 Cu 0.626 0.121 0.626
5 V 0.000 0.000 0.000
6 Pu 0.250 0.250 0.250